# Mn3RuPt12 (PBE-GGA, optimized geometry)
# - total magnetization (Bohr magnetons per cell) = 11.83
# - DFT total energy (eV/cell) = -113.32
# - E_form (eV/atom) = -0.2528
# - DOS(E_F) (states/eV/atom) = 1.2699
data_Mn3RuPt12
_cell_length_a 3.930
_cell_length_b 3.930
_cell_length_c 15.765
_cell_angle_alpha 90.00
_cell_angle_beta 90.00
_cell_angle_gamma 90.00
_symmetry_space_group_name_H-M 'P 4/m m m'
_symmetry_Int_Tables_number 123
_symmetry_space_group_name_Hall '-P 4 2'
loop_
_atom_site_label
_atom_site_fract_x
_atom_site_fract_y
_atom_site_fract_z
_atom_site_occupancy
Mn1 0.000 0.000 0.000 1
Mn2 0.000 0.000 0.249 1
Ru1 0.000 0.000 0.500 1
Pt1 0.000 0.500 0.125 1
Pt2 0.000 0.500 0.375 1
Pt3 0.500 0.500 0.000 1
Pt4 0.500 0.500 0.249 1
Pt5 0.500 0.500 0.500 1